Entry 1:
## La2NiAs (GGA-PBE)

Data for a relaxed structure of La2NiAs.

Properties
* formation energy: -0.84 eV/atom

a = 4.2830 Å, b = 4.1885 Å, c = 11.0962 Å
α = 90.00°, β = 90.00°, γ = 90.00°
Last column: nearest neighbours and their distance in Å.
Space group Amm2 (No. 38)
Inequivalent atoms, fractional coordinates:
La: 0.0000 0.0000 0.0000  4 Ni 3.09, 3 As 3.14-3.21
La: 0.5000 0.0000 0.2788  4 As 3.09, 3 Ni 3.13-3.22
Ni: 0.5000 0.0000 0.5692  2 As 2.65
As: 0.0000 0.0000 0.7104  2 Ni 2.65

Entry 2:
## La8CoOsPt2 (GGA-PBE)

Data for a relaxed structure of La8CoOsPt2.

Properties
* formation energy: -0.46 eV/atom

a = 6.7993 Å, b = 8.5443 Å, c = 6.8526 Å
α = 90.00°, β = 91.03°, γ = 90.00°
Last column: nearest neighbours and their distance in Å.
Space group P2/m (No. 10)
Inequivalent atoms, fractional coordinates:
La: 0.1582 0.2459 0.2822  1 Co 2.80, 1 Os 2.86, 1 Pt 3.05
La: 0.3336 0.0000 0.7528  1 Co 2.83, 2 Pt 2.92
La: 0.3391 0.5000 0.7563  1 Os 2.87, 2 Pt 2.93
Co: 0.0000 0.0000 0.5000  6 La 2.80-2.83
Os: 0.0000 0.5000 0.5000  6 La 2.86-2.87
Pt: 0.5000 0.2470 0.0000  6 La 2.92-3.05

Entry 3:
## Zn2InBr (GGA-PBE)

Data for a relaxed structure of Zn2InBr.

Properties
* energy above the most stable polymorph in this dataset: 161.7 meV/atom

a = 3.5710 Å, b = 5.0115 Å, c = 10.4474 Å
α = 90.00°, β = 90.00°, γ = 90.00°
Last column: nearest neighbours and their distance in Å.
Space group Imm2 (No. 44)
Inequivalent atoms, fractional coordinates:
Zn: 0.0000 0.0000 0.0000  2 Zn 2.70
Zn: 0.0000 0.5000 0.3056  2 Zn 2.70
In: 0.0000 0.0000 0.5489  6 Zn 3.12-3.22, 2 Br 3.30
Br: 0.0000 0.5000 0.7540  6 Zn 3.12-3.20, 2 In 3.30

Entry 4:
## ScTa2Cu (GGA-PBE)

Data for a relaxed structure of ScTa2Cu.

Properties
* energy above the most stable polymorph in this dataset: 94.2 meV/atom
* formation energy: 0.16 eV/atom

a = 3.9821 Å, b = 3.9821 Å, c = 8.9269 Å
α = 90.00°, β = 90.00°, γ = 90.00°
Last column: nearest neighbours and their distance in Å.
Space group I4/mmm (No. 139)
Inequivalent atoms, fractional coordinates:
Sc: 0.0000 0.0000 0.0000  4 Cu 2.82, 8 Ta 2.99
Ta: 0.0000 0.5000 0.2500  4 Ta 2.82, 4 Sc 2.99, 4 Cu 2.99
Cu: 0.0000 0.0000 0.5000  4 Sc 2.82, 8 Ta 2.99

Entry 5:
## CoGePt3 (GGA-PBE)

Data for a relaxed structure of CoGePt3.

Properties
* energy above the most stable polymorph in this dataset: 18.3 meV/atom
* formation energy: 0.84 eV/atom

a = 4.5946 Å, b = 4.5946 Å, c = 4.5946 Å
α = 90.00°, β = 90.00°, γ = 90.00°
Last column: nearest neighbours and their distance in Å.
Space group Pm-3m (No. 221)
Inequivalent atoms, fractional coordinates:
Co: 0.0000 0.0000 0.0000  6 Pt 2.30
Ge: 0.5000 0.5000 0.5000  12 Pt 3.25
Pt: 0.0000 0.0000 0.5000  2 Co 2.30

Entry 6:
## NdRhO6 (GGA-PBE)

Data for a relaxed structure of NdRhO6.

Properties
* total DFT energy (no corrections): -6.101 eV per atom

a = 6.8785 Å, b = 6.8785 Å, c = 6.9737 Å
α = 90.00°, β = 90.00°, γ = 120.00°
Last column: nearest neighbours and their distance in Å.
Space group R-3m (No. 166, hexagonal axes)
Inequivalent atoms, fractional coordinates:
Nd: 0.0000 0.0000 0.0000  6 O 2.45
Rh: 0.0000 0.0000 0.5000  6 O 1.91
O: 0.0771 0.5386 0.3301  1 Rh 1.91

Entry 7:
## CrSiI2N (GGA-PBE)

Data for a relaxed structure of CrSiI2N.

Properties
* energy above the most stable polymorph in this dataset: 0.0 meV/atom

a = 5.5810 Å, b = 5.5810 Å, c = 3.6452 Å
α = 90.00°, β = 90.00°, γ = 90.00°
Last column: nearest neighbours and their distance in Å.
Space group P4/mmm (No. 123)
Inequivalent atoms, fractional coordinates:
Cr: 0.0000 0.0000 0.0000  2 N 1.82
Si: 0.5000 0.5000 0.5000  8 I 3.33, 2 Si 3.65
I: 0.0000 0.5000 0.0000  2 Cr 2.79
N: 0.0000 0.0000 0.5000  2 Cr 1.82

Entry 8:
## La3GePd3 (GGA-PBE)

Data for a relaxed structure of La3GePd3.

Properties
* formation energy: -0.85 eV/atom

a = 4.1881 Å, b = 4.3596 Å, c = 19.1688 Å
α = 90.00°, β = 90.00°, γ = 90.00°
Last column: nearest neighbours and their distance in Å.
Space group Imm2 (No. 44)
Inequivalent atoms, fractional coordinates:
La: 0.0000 0.0000 0.0000  7 Pd 3.04-3.36
La: 0.0000 0.0000 0.3628  2 Ge 3.07, 5 Pd 3.10-3.11
La: 0.0000 0.5000 0.1827  4 Ge 3.25, 6 Pd 3.29-3.43
Ge: 0.0000 0.5000 0.7456  3 Pd 2.50-2.66
Pd: 0.0000 0.0000 0.5245  2 Pd 2.79, 5 La 3.06-3.10
Pd: 0.0000 0.0000 0.8247  2 Ge 2.66
Pd: 0.0000 0.5000 0.6153  1 Ge 2.50, 2 Pd 2.79